Entry 1:
Tl2MoP: relaxed, GGA-PBE.

The value obtained for the polymorph energy (0 for the lowest one) is 800 meV/atom. As for the density of states at the Fermi level: 7.21 states/eV/cell. Its energy of formation is 0.874 eV/atom. As for the size of the total moment: 5.48 Bohr magnetons per cell. As for the calculated density: 10.1 Mg/m³.

The space group is I4/mmm (No. 139) and the conventional cell measures 4.0923, 4.0923 and 10.4995 Å, with angles of 90.00, 90.00 and 90.00 degrees. The distinct sites, in fractional coordinates, are Tl at (0.0000, 0.5000, 0.2500), Mo at (0.0000, 0.0000, 0.0000) and P at (0.0000, 0.0000, 0.5000).

Entry 2:
TlMo2P: relaxed, GGA-PBE.

The value obtained for the polymorph energy (0 for the lowest one) is 170 meV/atom. As for the density of states at the Fermi level: 3.37 states/eV/cell. Its energy of formation is 0.268 eV/atom. As for the size of the total moment: 0.00 Bohr magnetons per cell. As for the calculated density: 9.8 Mg/m³.

The space group is Amm2 (No. 38) and the conventional cell measures 4.5192, 3.1099 and 10.3289 Å, with angles of 90.00, 90.00 and 90.00 degrees. The distinct sites, in fractional coordinates, are Tl at (0.0000, 0.0000, 0.0000), Mo at (0.0000, 0.0000, 0.2645), Mo at (0.5000, 0.0000, 0.6624) and P at (0.5000, 0.0000, 0.3405).

Entry 3:
Tl2MoP: relaxed, GGA-PBE.

The value obtained for the polymorph energy (0 for the lowest one) is 110 meV/atom. As for the density of states at the Fermi level: 5.17 states/eV/cell. Its energy of formation is 0.184 eV/atom. As for the size of the total moment: 0.00 Bohr magnetons per cell. As for the calculated density: 9.5 Mg/m³.

The space group is Immm (No. 71) and the conventional cell measures 3.0380, 3.8201 and 16.2186 Å, with angles of 90.00, 90.00 and 90.00 degrees. The distinct sites, in fractional coordinates, are Tl at (0.0000, 0.0000, 0.1722), Mo at (0.0000, 0.5000, 0.5000) and P at (0.0000, 0.5000, 0.0000).

Question: What is the formula in the first record?
Answer: Tl2MoP

Question: Which value of calculated density does entry 1 give?
Answer: 10.1 Mg/m³

Question: polymorph energy (0 for the lowest one) of number 1 (Tl2MoP)?
Answer: 800 meV/atom

Question: What is the formula in the first record?
Answer: Tl2MoP